Entry 1:
MnP4Pt | meta-GGA SCAN | PBEsol geometry

## Properties
**Space-group type**: F-43m (216)
**Raw total energy**: -21.02 eV per atom
**N(E_F)**: 0.726 states/eV/atom
**Magnetic moment**: 4.00 μB/f.u.
**ΔE_f**: 653 meV/atom

a = 4.9292 Å, b = 4.9292 Å, c = 4.9292 Å
α = 60.00°, β = 60.00°, γ = 60.00°
Positions (direct):
1 Mn 0.0000 0.0000 0.0000
2 P 0.3746 0.3746 0.3746
3 P 0.3746 0.3746 0.8761
4 P 0.3746 0.8761 0.3746
5 P 0.8761 0.3746 0.3746
6 Pt 0.7500 0.7500 0.7500



Entry 2:
Nb12IrAu3 | meta-GGA SCAN | PBEsol geometry

## Properties
**Space-group type**: Pmmm (47)
**Raw total energy**: -42.57 eV per atom
**N(E_F)**: 1.069 states/eV/atom
**Magnetic moment**: 0.00 μB/f.u.
**ΔE_f**: -312 meV/atom

a = 5.1651 Å, b = 5.1723 Å, c = 10.3470 Å
α = 90.00°, β = 90.00°, γ = 90.00°
Positions (direct):
1 Nb 0.0000 0.0000 0.1218
2 Nb 0.0000 0.0000 0.3741
3 Nb 0.0000 0.0000 0.6259
4 Nb 0.0000 0.0000 0.8782
5 Nb 0.2501 0.5000 0.5000
6 Nb 0.2546 0.5000 0.0000
7 Nb 0.5000 0.2469 0.2463
8 Nb 0.5000 0.2469 0.7537
9 Nb 0.5000 0.7531 0.2463
10 Nb 0.5000 0.7531 0.7537
11 Nb 0.7454 0.5000 0.0000
12 Nb 0.7499 0.5000 0.5000
13 Ir 0.5000 0.0000 0.0000
14 Au 0.0000 0.5000 0.2494
15 Au 0.0000 0.5000 0.7506
16 Au 0.5000 0.0000 0.5000